1.
# RbTlHgTe2 (GGA-PBE, optimized geometry)
# total energy	-0.1801	Ry/atom
# space group	P2/c, No. 13
data_RbTlHgTe2
_space_group_name_H-M_alt 'P 1'
_space_group_IT_number 1
_cell_length_a 6.2716
_cell_length_b 8.0637
_cell_length_c 8.7258
_cell_angle_alpha 93.77
_cell_angle_beta 90.00
_cell_angle_gamma 90.00
loop_
_space_group_symop_operation_xyz
'x,y,z'
loop_
_atom_site_label
_atom_site_type_symbol
_atom_site_fract_x
_atom_site_fract_y
_atom_site_fract_z
Rb1 Rb 0.7660 0.5000 0.2500
Hg1 Hg 0.0000 0.0000 0.0000
Rb2 Rb 0.2340 0.5000 0.7500
Tl1 Tl 0.5670 0.0000 0.2500
Tl2 Tl 0.4330 0.0000 0.7500
Te1 Te 0.7609 0.7431 0.8942
Te2 Te 0.2391 0.7431 0.3942
Hg2 Hg 0.0000 0.0000 0.5000
Te3 Te 0.2391 0.2569 0.1058
Te4 Te 0.7609 0.2569 0.6058

2.
# Rb2TmHg2Te4 (GGA-PBE, optimized geometry)
# total energy	-0.2168	Ry/atom
# space group	C2/m, No. 12
# DOS at the Fermi energy	0.429	states/eV per atom
data_Rb2TmHg2Te4
_space_group_name_H-M_alt 'P 1'
_space_group_IT_number 1
_cell_length_a 4.4916
_cell_length_b 9.0066
_cell_length_c 9.0823
_cell_angle_alpha 112.63
_cell_angle_beta 104.32
_cell_angle_gamma 90.00
loop_
_space_group_symop_operation_xyz
'x,y,z'
loop_
_atom_site_label
_atom_site_type_symbol
_atom_site_fract_x
_atom_site_fract_y
_atom_site_fract_z
Te1 Te 0.1844 0.2206 0.3687
Te2 Te 0.5157 0.7747 0.0314
Rb1 Rb 0.1294 0.5816 0.2589
Rb2 Rb 0.8706 0.4184 0.7411
Te3 Te 0.8156 0.7794 0.6313
Te4 Te 0.4843 0.2253 0.9686
Hg1 Hg 0.3125 0.9936 0.6251
Hg2 Hg 0.6875 0.0064 0.3749
Tm1 Tm 0.0000 0.0000 0.0000

3.
# Rb2UHg2Te6 (GGA-PBE, optimized geometry)
# total energy	-0.2513	Ry/atom
# space group	C2/m, No. 12
# DOS at the Fermi energy	0.594	states/eV per atom
data_Rb2UHg2Te6
_space_group_name_H-M_alt 'P 1'
_space_group_IT_number 1
_cell_length_a 8.4414
_cell_length_b 7.9684
_cell_length_c 9.2938
_cell_angle_alpha 108.02
_cell_angle_beta 90.00
_cell_angle_gamma 121.98
loop_
_space_group_symop_operation_xyz
'x,y,z'
loop_
_atom_site_label
_atom_site_type_symbol
_atom_site_fract_x
_atom_site_fract_y
_atom_site_fract_z
Te1 Te 0.6658 0.8839 0.2304
Te2 Te 0.3342 0.1161 0.7696
U1 U 0.5000 0.0000 0.5000
Te3 Te 0.7819 0.1161 0.7696
Hg1 Hg 0.9398 0.8797 0.6914
Rb1 Rb 0.6930 0.3860 0.1425
Hg2 Hg 0.0602 0.1203 0.3086
Rb2 Rb 0.3070 0.6140 0.8575
Te4 Te 0.7202 0.4405 0.5387
Te5 Te 0.2798 0.5595 0.4613
Te6 Te 0.2181 0.8839 0.2304

4.
# Rb3U3HgTe8 (GGA-PBE, optimized geometry)
# total energy	-0.3567	Ry/atom
# space group	C2/m, No. 12
# DOS at the Fermi energy	1.213	states/eV per atom
data_Rb3U3HgTe8
_space_group_name_H-M_alt 'P 1'
_space_group_IT_number 1
_cell_length_a 9.0193
_cell_length_b 9.0275
_cell_length_c 10.0563
_cell_angle_alpha 116.69
_cell_angle_beta 89.99
_cell_angle_gamma 119.98
loop_
_space_group_symop_operation_xyz
'x,y,z'
loop_
_atom_site_label
_atom_site_type_symbol
_atom_site_fract_x
_atom_site_fract_y
_atom_site_fract_z
Te1 Te 0.7604 0.0423 0.3026
Te2 Te 0.2404 0.4808 0.6979
U1 U 0.0000 0.5000 0.5000
U2 U 0.5000 0.0000 0.5000
Te3 Te 0.7596 0.5192 0.3021
Te4 Te 0.2396 0.9577 0.6974
Te5 Te 0.2663 0.5326 0.2988
Te6 Te 0.2818 0.0423 0.3026
Te7 Te 0.7337 0.4674 0.7012
Rb1 Rb 0.0000 0.0000 0.0000
Rb2 Rb 0.5000 0.5000 0.0000
U3 U 0.5000 0.5000 0.5000
Te8 Te 0.7182 0.9577 0.6974
Hg1 Hg 0.0000 0.0000 0.5000
Rb3 Rb 0.0000 0.5000 0.0000

Quick rundown of formation energy without anion corrections, same order as above: -467.2 -774.6 -449.1 -706.3 meV/atom